The following is a PBE calculation of a geometry-optimized Ac2Zn3HgGe4 structure, from Alexandria.

Computed properties:
Volume   223.0 Å³ per cell
Formation enthalpy at 0 K   -0.395 eV per atom
Calculated total energy   -3.48 eV/atom

abc: 4.652 4.652 10.305
angles: 90.00 90.00 90.00
Space group P-4m2 (No. 115)
One atom of each set of equivalent atoms:
Ac: 0.000 0.500 0.241 [2 per cell]
Zn: 0.000 0.500 0.884 [2 per cell]
Zn: 0.500 0.500 0.500 [1 per cell]
Hg: 0.000 0.000 0.500 [1 per cell]
Ge: 0.000 0.000 0.000 [1 per cell]
Ge: 0.000 0.500 0.643 [2 per cell]
Ge: 0.500 0.500 0.000 [1 per cell]


The following is a PBE calculation of a geometry-optimized Tb6Pm4Dy structure, from Alexandria.

Computed properties:
Polymorph energy (0 for the lowest one)   48.1 meV/atom
Volume   773.8 Å³ per cell
Formation enthalpy at 0 K   0.427 eV per atom
Calculated total energy   -4.24 eV/atom

abc: 7.644 7.644 13.245
angles: 90.00 90.00 90.00
Space group I-42m (No. 121)
One atom of each set of equivalent atoms:
Tb: 0.000 0.500 0.000 [4 per cell]
Tb: 0.236 0.236 0.185 [8 per cell]
Pm: 0.174 0.174 0.423 [8 per cell]
Dy: 0.000 0.000 0.000 [2 per cell]


The following is a PBE calculation of a geometry-optimized SrTaTiBe2 structure, from Alexandria.

Computed properties:
Volume   94.0 Å³ per cell
Formation enthalpy at 0 K   2.299 eV per atom
Calculated total energy   -3.48 eV/atom

abc: 4.505 4.505 4.633
angles: 90.00 90.00 90.00
Space group P4/mmm (No. 123)
One atom of each set of equivalent atoms:
Sr: 0.000 0.000 0.000 [1 per cell]
Ta: 0.500 0.500 0.500 [1 per cell]
Ti: 0.000 0.000 0.500 [1 per cell]
Be: 0.000 0.500 0.000 [2 per cell]


The following is a PBE calculation of a geometry-optimized Ac6ZnPb2 structure, from Alexandria.

Computed properties:
Volume   743.8 Å³ per cell
Formation enthalpy at 0 K   -0.145 eV per atom
Calculated total energy   -3.85 eV/atom

abc: 5.601 8.003 16.594
angles: 90.00 90.00 90.00
Space group Immm (No. 71)
One atom of each set of equivalent atoms:
Ac: 0.000 0.227 0.000 [4 per cell]
Ac: 0.000 0.258 0.339 [8 per cell]
Zn: 0.000 0.500 0.500 [2 per cell]
Pb: 0.000 0.500 0.163 [4 per cell]


The following is a PBE calculation of a geometry-optimized Ac3SmBi4 structure, from Alexandria.

Computed properties:
Polymorph energy (0 for the lowest one)   14.5 meV/atom
Volume   314.7 Å³ per cell
Formation enthalpy at 0 K   -0.953 eV per atom
Calculated total energy   -5.02 eV/atom

abc: 6.802 6.802 6.802
angles: 90.00 90.00 90.00
Space group Pm-3m (No. 221)
One atom of each set of equivalent atoms:
Ac: 0.000 0.000 0.500 [3 per cell]
Sm: 0.500 0.500 0.500 [1 per cell]
Bi: 0.000 0.000 0.000 [1 per cell]
Bi: 0.000 0.500 0.500 [3 per cell]


The following is a PBE calculation of a geometry-optimized TlMoN2 structure, from Alexandria.

Computed properties:
Polymorph energy (0 for the lowest one)   1544.2 meV/atom
Volume   195.6 Å³ per cell
Calculated total energy   -5.96 eV/atom
Formation energy (no corrections)   1506.5 meV/atom

abc: 5.805 5.805 5.805
angles: 90.00 90.00 90.00
Space group Fm-3m (No. 225)
One atom of each set of equivalent atoms:
Tl: 0.000 0.000 0.000 [4 per cell]
Mo: 0.000 0.000 0.500 [4 per cell]
N: 0.250 0.250 0.250 [8 per cell]